No. 1
SrBePt3 after structural relaxation, computed with PBE.

Summary:
Fermi-level density of states   2.82 states/eV per cell
Energy relative to the lowest polymorph listed for this composition   1.73 eV/f.u.
Volume   125.2 Å³/f.u.
DFT formation energy   -1.990 eV per formula unit

abc: 4.443 5.158 10.921
angles: 90.00 90.00 90.00
Space group Amm2 (No. 38)
One atom of each set of equivalent atoms:
Sr (0.000, 0.000, 0.000) [2 per cell]
Be (0.500, 0.000, 0.266) [2 per cell]
Pt (0.000, 0.244, 0.253) [4 per cell]
Pt (0.500, 0.000, 0.762) [2 per cell]

***

No. 2
Cs2Tl4InHg3 after structural relaxation, computed with PBE.

Summary:
Fermi-level density of states   7.59 states/eV per cell
Volume   369.7 Å³/f.u.
DFT formation energy   -1.141 eV per formula unit

abc: 5.347 5.347 12.930
angles: 90.00 90.00 90.00
Space group P-4m2 (No. 115)
One atom of each set of equivalent atoms:
Cs (0.000, 0.500, 0.248) [2 per cell]
Tl (0.000, 0.000, 0.500) [1 per cell]
Tl (0.000, 0.500, 0.875) [2 per cell]
Tl (0.500, 0.500, 0.500) [1 per cell]
In (0.500, 0.500, 0.000) [1 per cell]
Hg (0.000, 0.000, 0.000) [1 per cell]
Hg (0.000, 0.500, 0.631) [2 per cell]

***

No. 3
Mg2AlHPb after structural relaxation, computed with PBE.

Summary:
Fermi-level density of states   1.21 states/eV per cell
Energy relative to the lowest polymorph listed for this composition   0.00 eV/f.u.
Volume   92.5 Å³/f.u.

abc: 4.554 4.554 4.459
angles: 90.00 90.00 90.00
Space group P4/mmm (No. 123)
One atom of each set of equivalent atoms:
Mg (0.000, 0.500, 0.000) [2 per cell]
Al (0.000, 0.000, 0.500) [1 per cell]
H (0.000, 0.000, 0.000) [1 per cell]
Pb (0.500, 0.500, 0.500) [1 per cell]

***

No. 4
CaErReO6 after structural relaxation, computed with PBE.

Summary:
Fermi-level density of states   0.00 states/eV per cell
Volume   128.1 Å³/f.u.
Total energy   -0.5814 Ry per atom

abc: 5.4846 5.4846 4.9167
angles: 90.00 90.00 120.00
Space group P312 (No. 149)
One atom of each set of equivalent atoms:
Ca (0.0000, 0.0000, 0.0000) [1 per cell]
Er (0.3333, 0.6667, 0.5000) [1 per cell]
Re (0.6667, 0.3333, 0.5000) [1 per cell]
O (0.3824, 0.0434, 0.7185) [6 per cell]

***

Q: The lowest Fermi-level density of states belongs to which entry?
A: CaErReO6

***

Q: Which of these has the lowest Fermi-level density of states?
A: CaErReO6

***

Copy entry 1 word for word.
SrBePt3 after structural relaxation, computed with PBE.

Summary:
Fermi-level density of states   2.82 states/eV per cell
Energy relative to the lowest polymorph listed for this composition   1.73 eV/f.u.
Volume   125.2 Å³/f.u.
DFT formation energy   -1.990 eV per formula unit

abc: 4.443 5.158 10.921
angles: 90.00 90.00 90.00
Space group Amm2 (No. 38)
One atom of each set of equivalent atoms:
Sr (0.000, 0.000, 0.000) [2 per cell]
Be (0.500, 0.000, 0.266) [2 per cell]
Pt (0.000, 0.244, 0.253) [4 per cell]
Pt (0.500, 0.000, 0.762) [2 per cell]